The following is a PBE calculation of a relaxed structure of NiBiTe, from the Open Quantum Materials Database.

Computed properties:
Total DFT energy (no corrections) (eV per cell): -26.57

```
data_NiBiTe
_cell_length_a 4.013
_cell_length_b 5.464
_cell_length_c 6.457
_cell_angle_alpha 90.00
_cell_angle_beta 90.00
_cell_angle_gamma 90.00
_space_group_name_H-M_alt 'P m n 21'
_space_group_IT_number 31
_space_group_name_Hall 'P 2ac -2'
loop_
_atom_site_label
_atom_site_fract_x
_atom_site_fract_y
_atom_site_fract_z
Ni1 0.000 0.227 0.000
Bi1 0.000 0.481 0.641
Te1 0.000 0.028 0.361
```

The following is a PBE calculation of a relaxed structure of NiBi2Te, from the Open Quantum Materials Database.

Computed properties:
Total DFT energy (no corrections) (eV per cell): -60.05

```
data_NiBi2Te
_cell_length_a 7.427
_cell_length_b 7.427
_cell_length_c 7.427
_cell_angle_alpha 90.00
_cell_angle_beta 90.00
_cell_angle_gamma 90.00
_space_group_name_H-M_alt 'F -4 3 m'
_space_group_IT_number 216
_space_group_name_Hall 'F -4 2 3'
loop_
_atom_site_label
_atom_site_fract_x
_atom_site_fract_y
_atom_site_fract_z
Ni1 0.000 0.000 0.000
Bi1 0.000 0.000 0.500
Bi2 0.250 0.250 0.250
Te1 0.250 0.250 0.750
```

The following is a PBE calculation of a relaxed structure of NiBiTe, from the Open Quantum Materials Database.

Computed properties:
Total DFT energy (no corrections) (eV per cell): -50.98

```
data_NiBiTe
_cell_length_a 6.624
_cell_length_b 6.624
_cell_length_c 6.624
_cell_angle_alpha 90.00
_cell_angle_beta 90.00
_cell_angle_gamma 90.00
_space_group_name_H-M_alt 'F -4 3 m'
_space_group_IT_number 216
_space_group_name_Hall 'F -4 2 3'
loop_
_atom_site_label
_atom_site_fract_x
_atom_site_fract_y
_atom_site_fract_z
Ni1 0.000 0.000 0.000
Bi1 0.250 0.250 0.750
Te1 0.250 0.250 0.250
```

The following is a PBE calculation of a relaxed structure of NiBiTe, from the Open Quantum Materials Database.

Computed properties:
Total DFT energy (no corrections) (eV per cell): -50.04

```
data_NiBiTe
_cell_length_a 6.539
_cell_length_b 3.905
_cell_length_c 12.331
_cell_angle_alpha 90.00
_cell_angle_beta 90.00
_cell_angle_gamma 90.00
_space_group_name_H-M_alt 'P n m a'
_space_group_IT_number 62
_space_group_name_Hall '-P 2ac 2n'
loop_
_atom_site_label
_atom_site_fract_x
_atom_site_fract_y
_atom_site_fract_z
Ni1 0.096 0.250 0.161
Bi1 0.194 0.250 0.843
Te1 0.205 0.250 0.595
```